[1]
Entry from the Alexandria database: a relaxed structure of TaH2CSe (PBE).

- distance to the lowest polymorph of the same formula (meV per atom) = 282

a = 3.179 Å, b = 8.862 Å, c = 3.179 Å
α = 90.00°, β = 90.00°, γ = 90.00°
Positions (direct):
Ta 0.500 0.500 0.500
H 0.000 0.000 0.500
H 0.500 0.000 0.000
Se 0.000 0.000 0.000
C 0.000 0.500 0.000

---

[2]
Entry from the Alexandria database: a relaxed structure of Tb3HCSe (PBE).

a = 3.723 Å, b = 7.918 Å, c = 8.110 Å
α = 103.10°, β = 90.00°, γ = 90.00°
Positions (direct):
Tb 0.250 0.772 0.468
Tb 0.250 0.550 0.839
Tb 0.750 0.450 0.161
Tb 0.250 0.130 0.861
Tb 0.750 0.228 0.532
Tb 0.750 0.870 0.139
H 0.750 0.922 0.421
H 0.250 0.078 0.579
C 0.250 0.667 0.158
C 0.750 0.333 0.842
Se 0.250 0.174 0.226
Se 0.750 0.826 0.774

---

no.,total DFT energy (no corrections) (eV per formula unit)
1,-27.76
2,-35.44